The following is a GGA-PBE calculation of a geometry-optimized Hf2SnPt2 structure, from Alexandria.

```
10
Lattice="4.5371 0.0000 0.0000 0.0000 4.5371 0.0000 0.0000 0.0000 10.7884" Properties=species:S:1:pos:R:3 pbc="T T T"
Hf 0.0000 2.2685 2.6971
Hf 0.0000 2.2685 8.0913
Hf 2.2685 0.0000 2.6971
Hf 2.2685 0.0000 8.0913
Sn 0.0000 0.0000 0.0000
Sn 2.2685 2.2685 5.3942
Pt 0.0000 0.0000 4.0807
Pt 0.0000 0.0000 6.7077
Pt 2.2685 2.2685 1.3135
Pt 2.2685 2.2685 9.4750
```

Summary:
Energy relative to the elements = -0.6834 eV/atom
Symmetry = I4/mmm

The following is a GGA-PBE calculation of a geometry-optimized InSbO2 structure, from Alexandria.

```
12
Lattice="3.4066 0.0000 0.0000 -1.7033 2.9502 0.0000 0.0000 0.0000 21.2121" Properties=species:S:1:pos:R:3 pbc="T T T"
In 0.0000 0.0000 0.0000
In 0.0000 1.9668 14.1414
In 1.7033 0.9834 7.0707
Sb 0.0000 0.0000 10.6060
Sb 0.0000 1.9668 3.5353
Sb 1.7033 0.9834 17.6767
O 0.0000 0.0000 2.3402
O 0.0000 0.0000 18.8719
O 0.0000 1.9668 11.8012
O 0.0000 1.9668 16.4815
O 1.7033 0.9834 4.7305
O 1.7033 0.9834 9.4108
```

Summary:
Formation energy (no corrections) = -820.8 meV per atom
Symmetry = R-3m

The following is a GGA-PBE calculation of a geometry-optimized SiTcRh2W structure, from Alexandria.

```
5
Lattice="4.6720 0.0000 0.0000 0.0000 4.6720 0.0000 0.0000 0.0000 4.6762" Properties=species:S:1:pos:R:3 pbc="T T T"
Si 0.0000 0.0000 0.0000
Tc 2.3360 2.3360 0.0000
Rh 0.0000 2.3360 2.3381
Rh 2.3360 0.0000 2.3381
W 0.0000 0.0000 2.3381
```

Summary:
Formation energy (no corrections) = 1463.3 meV per atom
Symmetry = P4/mmm

The following is a GGA-PBE calculation of a geometry-optimized PmY3HoSc structure, from Alexandria.

```
12
Lattice="2.4855 -7.4871 0.0000 2.4855 7.4871 0.0000 0.0000 0.0000 10.0004" Properties=species:S:1:pos:R:3 pbc="T T T"
Pm 2.4855 7.4438 7.5003
Pm 2.4855 -7.4438 2.5001
Y 2.4855 4.9900 5.0106
Y 2.4855 4.9900 9.9901
Y 2.4855 2.5305 7.5003
Y 2.4855 -2.5305 2.5001
Y 2.4855 -4.9900 0.0104
Y 2.4855 -4.9900 4.9899
Ho 2.4855 0.0000 0.0000
Ho 2.4855 0.0000 5.0002
Sc 2.4855 2.5012 2.5001
Sc 2.4855 -2.5012 7.5003
```

Summary:
Energy relative to the elements = 0.0413 eV/atom
Symmetry = Cmcm

The following is a GGA-PBE calculation of a geometry-optimized Ho4Ga3Ag structure, from Alexandria.

```
16
Lattice="10.0947 0.0000 0.0000 0.0000 7.1876 0.0000 0.0000 0.0000 5.0471" Properties=species:S:1:pos:R:3 pbc="T T T"
Ho 0.0000 1.7702 0.0000
Ho 0.0000 5.4174 0.0000
Ho 2.5237 1.7701 2.5196
Ho 2.5237 5.4175 2.5196
Ho 5.0473 1.7702 0.0000
Ho 5.0473 5.4174 0.0000
Ho 7.5710 1.7701 2.5275
Ho 7.5710 5.4175 2.5275
Ga 0.0000 0.0000 2.5235
Ga 2.5237 0.0000 5.0401
Ga 2.5237 3.5938 5.0426
Ga 5.0473 0.0000 2.5235
Ga 7.5710 0.0000 0.0070
Ga 7.5710 3.5938 0.0045
Ag 0.0000 3.5938 2.5235
Ag 5.0473 3.5938 2.5235
```

Summary:
Energy relative to the elements = -0.5219 eV/atom
Symmetry = Pmma

The following is a GGA-PBE calculation of a geometry-optimized Ac3LaNd structure, from Alexandria.

```
10
Lattice="10.0716 -1.9521 0.0000 10.0716 1.9521 0.0000 -2.9213 0.0000 10.5474" Properties=species:S:1:pos:R:3 pbc="T T T"
Ac -0.6614 0.0000 2.4966
Ac 1.5485 0.0000 8.9597
Ac 6.7224 0.0000 4.7823
Ac 10.4996 0.0000 5.7651
Ac 15.6735 0.0000 1.5877
Ac 17.8834 0.0000 8.0508
La 3.0094 0.0000 3.6861
La 14.2126 0.0000 6.8613
Nd 5.2236 0.0000 9.9874
Nd 11.9983 0.0000 0.5600
```

Summary:
Energy relative to the elements = 0.0271 eV/atom
Symmetry = C2/m

The following is a GGA-PBE calculation of a geometry-optimized Sr2InBr structure, from Alexandria.

```
8
Lattice="4.6445 0.0000 0.0000 0.0000 6.7372 0.0000 0.0000 0.0000 9.4446" Properties=species:S:1:pos:R:3 pbc="T T T"
Sr 0.0000 0.0000 2.1152
Sr 0.0000 0.0000 7.3294
Sr 2.3222 3.3686 2.6071
Sr 2.3222 3.3686 6.8375
In 0.0000 3.3686 0.0000
In 2.3222 0.0000 4.7223
Br 0.0000 3.3686 4.7223
Br 2.3222 0.0000 0.0000
```

Summary:
Formation energy (no corrections) = -740.8 meV per atom
Symmetry = Immm

The following is a GGA-PBE calculation of a geometry-optimized RbNa3Zr structure, from Alexandria.

```
5
Lattice="6.3805 0.0000 0.0000 0.0000 6.3805 0.0000 0.0000 0.0000 6.3805" Properties=species:S:1:pos:R:3 pbc="T T T"
Rb 0.0000 0.0000 0.0000
Na 0.0000 3.1902 3.1902
Na 3.1902 0.0000 3.1902
Na 3.1902 3.1902 0.0000
Zr 3.1902 3.1902 3.1902
```

Summary:
Energy relative to the elements = 0.8998 eV/atom
Symmetry = Pm-3m

no.,density of states at the Fermi level (states/eV/atom),E (eV/atom)
1,0.4004,-7.88
2,0.0772,-5.02
3,0.6939,-7.23
4,1.5357,-5.80
5,0.5837,-4.30
6,1.8332,-4.38
7,1.0806,-2.68
8,2.0328,-1.79